(P)
This record from Alexandria describes crystalline Ho2Tl2Pb at its relaxed geometry. The functional is PBE-GGA.

DOS(E_F), states/eV/f.u.: 4.02
Calculated density, Mg/m³: 10.54
M_tot, μB/cell: 0.0

POSCAR file:
```
Ho2Tl2Pb
1.0
-0.934 4.118 -2.314
-3.893 -3.103 -3.951
-5.410 3.329 8.110
Ho Pb Tl
4 2 4
Direct
0.750 0.694 0.621 Ho
0.750 0.672 0.244 Ho
0.250 0.306 0.379 Ho
0.250 0.328 0.756 Ho
0.250 0.351 0.066 Pb
0.750 0.649 0.934 Pb
0.250 0.882 0.824 Tl
0.750 0.171 0.550 Tl
0.750 0.118 0.176 Tl
0.250 0.829 0.450 Tl
```



(Q)
This record from Alexandria describes crystalline Ho2Tl2Pb at its relaxed geometry. The functional is PBE-GGA.

DOS(E_F), states/eV/f.u.: 1.28
Calculated density, Mg/m³: 10.99
M_tot, μB/cell: 0.0

POSCAR file:
```
Ho2Tl2Pb
1.0
-1.048 -3.535 0.169
2.256 -1.072 -8.438
8.130 -2.292 2.465
Pb Ho Tl
2 4 4
Direct
0.000 0.000 0.000 Pb
0.000 0.500 0.500 Pb
0.500 0.825 0.325 Ho
0.500 0.325 0.175 Ho
0.500 0.675 0.825 Ho
0.500 0.175 0.675 Ho
0.000 0.625 0.125 Tl
0.000 0.875 0.625 Tl
0.000 0.125 0.375 Tl
0.000 0.375 0.875 Tl
```



Tell me which of them is the least stable. Sure, it is (P).



(P)
This record from Alexandria describes crystalline Ho3Tl2Pb at its relaxed geometry. The functional is PBE-GGA.

DOS(E_F), states/eV/f.u.: 4.79
Calculated density, Mg/m³: 11.29
M_tot, μB/cell: 0.1

POSCAR file:
```
Ho3Tl2Pb
1.0
3.557 0.000 0.000
0.000 3.557 0.000
0.000 0.000 12.919
Tl Ho Pb
2 3 1
Direct
0.500 0.500 0.165 Tl
0.500 0.500 0.835 Tl
0.000 0.000 0.000 Ho
0.000 0.000 0.329 Ho
0.000 0.000 0.671 Ho
0.500 0.500 0.500 Pb
```



(Q)
This record from Alexandria describes crystalline Ho3Tl2Pb at its relaxed geometry. The functional is PBE-GGA.

DOS(E_F), states/eV/f.u.: 5.19
Calculated density, Mg/m³: 11.26
M_tot, μB/cell: 0.0

POSCAR file:
```
Ho3Tl2Pb
1.0
4.263 0.000 0.000
0.000 5.060 0.000
0.000 0.000 15.189
Tl Ho Pb
4 6 2
Direct
0.000 0.000 0.330 Tl
0.000 0.500 0.830 Tl
0.000 0.000 0.670 Tl
0.000 0.500 0.170 Tl
0.500 0.000 0.166 Ho
0.500 0.000 0.834 Ho
0.499 0.500 0.000 Ho
0.500 0.500 0.666 Ho
0.500 0.500 0.334 Ho
0.501 0.000 0.500 Ho
0.000 0.500 0.500 Pb
0.000 0.000 0.000 Pb
```



Tell me which of them is the least stable. Sure, it is (P).